Crystalline Hf2PaSe6 at its relaxed geometry. Source: Alexandria, functional PBE-GGA.

## Properties
Symmetry: C2/m
Electronic total energy: -6.780 eV/atom
ΔE_f (raw): -1.190 eV per atom
Magnetization: 0.04 μB per atom
N(E_F): 4.0 states/eV/cell
Distance to the lowest polymorph of the same formula: 0.141 eV per atom

Cell lengths 5.141, 6.951, 7.988 Å; angles 70.41, 71.23, 68.30 degrees
Sites, in units of the cell vectors:
1 Se 0.036 0.139 0.790
2 Se 0.270 0.308 0.152
3 Se 0.964 0.861 0.210
4 Se 0.730 0.692 0.848
5 Se 0.364 0.702 0.571
6 Se 0.636 0.298 0.429
7 Hf 0.190 0.698 0.922
8 Hf 0.810 0.302 0.078
9 Pa 0.000 0.500 0.500